*P*
Material: Hf4FeBi2
Method: DFT, GGA-PBE
State: relaxed

Properties
As for the symmetry: No. 139. Its magnetization is 0.000 μB/atom. For the theoretical density, the calculation gives 11.40 g/cm3.

abc: 8.3483 8.3483 8.3483
angles: 146.88 146.88 47.55
Element x y z (fractional)
Hf: 0.0000 0.5000 0.5000
Hf: 0.1546 0.1546 0.0000
Hf: 0.5000 0.0000 0.5000
Hf: 0.8454 0.8454 0.0000
Fe: 0.0000 0.0000 0.0000
Bi: 0.3553 0.3553 0.0000
Bi: 0.6447 0.6447 0.0000

=====

*Q*
Material: Hf4FeBi2
Method: DFT, GGA-PBE
State: relaxed

Properties
As for the symmetry: No. 140. Its magnetization is 0.005 μB/atom. For the theoretical density, the calculation gives 12.32 g/cm3.

abc: 8.2194 8.2194 8.2194
angles: 95.93 95.93 142.50
Element x y z (fractional)
Hf: 0.0816 0.8073 0.8888
Hf: 0.1927 0.0816 0.2743
Hf: 0.3073 0.5816 0.8888
Hf: 0.4184 0.3073 0.7257
Hf: 0.5816 0.6927 0.2743
Hf: 0.6927 0.4184 0.1112
Hf: 0.8073 0.9184 0.7257
Hf: 0.9184 0.1927 0.1112
Fe: 0.2500 0.2500 0.0000
Fe: 0.7500 0.7500 0.0000
Bi: 0.1364 0.3636 0.5000
Bi: 0.3636 0.8636 0.2271
Bi: 0.6364 0.1364 0.7729
Bi: 0.8636 0.6364 0.5000

=====

The structure with the greatest stability is *Q*.

=====

*P*
Material: HfFeBi3
Method: DFT, GGA-PBE
State: relaxed

Properties
As for the symmetry: No. 221. Its magnetization is 0.666 μB/atom. For the theoretical density, the calculation gives 8.12 g/cm3.

abc: 5.6044 5.6044 5.6044
angles: 90.00 90.00 90.00
Element x y z (fractional)
Hf: 0.0000 0.0000 0.0000
Fe: 0.5000 0.5000 0.5000
Bi: 0.0000 0.0000 0.5000
Bi: 0.0000 0.5000 0.0000
Bi: 0.5000 0.0000 0.0000

=====

*Q*
Material: HfFeBi3
Method: DFT, GGA-PBE
State: relaxed

Properties
As for the symmetry: No. 221. Its magnetization is 0.535 μB/atom. For the theoretical density, the calculation gives 10.45 g/cm3.

abc: 5.1527 5.1527 5.1527
angles: 90.00 90.00 90.00
Element x y z (fractional)
Hf: 0.0000 0.0000 0.0000
Fe: 0.5000 0.5000 0.5000
Bi: 0.0000 0.5000 0.5000
Bi: 0.5000 0.0000 0.5000
Bi: 0.5000 0.5000 0.0000

=====

The structure with the greatest stability is *Q*.

=====

*P*
Material: HfFeBi2
Method: DFT, GGA-PBE
State: relaxed

Properties
As for the symmetry: No. 225. Its magnetization is 0.000 μB/atom. For the theoretical density, the calculation gives 12.45 g/cm3.

abc: 4.9734 4.9734 4.9734
angles: 60.00 60.00 60.00
Element x y z (fractional)
Hf: 0.0000 0.0000 0.0000
Fe: 0.5000 0.5000 0.5000
Bi: 0.2500 0.2500 0.2500
Bi: 0.7500 0.7500 0.7500

=====

*Q*
Material: HfFeBi2
Method: DFT, GGA-PBE
State: relaxed

Properties
As for the symmetry: No. 122. Its magnetization is 0.000 μB/atom. For the theoretical density, the calculation gives 11.28 g/cm3.

abc: 10.3352 10.3352 10.3352
angles: 155.33 155.33 35.16
Element x y z (fractional)
Hf: 0.0000 0.0000 0.0000
Hf: 0.7500 0.2500 0.5000
Fe: 0.2500 0.7500 0.5000
Fe: 0.5000 0.5000 0.0000
Bi: 0.1397 0.6250 0.0147
Bi: 0.3750 0.3897 0.5147
Bi: 0.6103 0.1250 0.9853
Bi: 0.8750 0.8603 0.4853

=====

The structure with the greatest stability is *P*.

=====

*P*
Material: FeBiI2
Method: DFT, GGA-PBE
State: relaxed

Properties
As for the symmetry: No. 122. Its magnetization is 0.001 μB/atom. For the theoretical density, the calculation gives 6.57 g/cm3.

abc: 7.2381 7.2381 7.2381
angles: 121.40 121.40 87.59
Element x y z (fractional)
Fe: 0.0000 0.0000 0.0000
Fe: 0.7500 0.2500 0.5000
Bi: 0.2500 0.7500 0.5000
Bi: 0.5000 0.5000 0.0000
I: 0.0292 0.6250 0.9042
I: 0.3750 0.2792 0.4042
I: 0.7208 0.1250 0.0958
I: 0.8750 0.9708 0.5958

=====

*Q*
Material: FeBiI2
Method: DFT, GGA-PBE
State: relaxed

Properties
As for the symmetry: No. 225. Its magnetization is 0.831 μB/atom. For the theoretical density, the calculation gives 7.63 g/cm3.

abc: 5.4239 5.4239 5.4239
angles: 60.00 60.00 60.00
Element x y z (fractional)
Fe: 0.0000 0.0000 0.0000
Bi: 0.5000 0.5000 0.5000
I: 0.2500 0.2500 0.2500
I: 0.7500 0.7500 0.7500

=====

The structure with the greatest stability is *P*.